VASP calculation (PBE) on crystalline SrErSn at its relaxed geometry.

Structure (extended XYZ):
```
3
Lattice="0.000 3.777 3.777 3.777 0.000 3.777 3.777 3.777 0.000" Properties=species:S:1:pos:R:3 pbc="T T T"
Sr 0.000 0.000 0.000
Er 5.666 5.666 5.666
Sn 3.777 3.777 3.777
```

## Properties
Calculated volume in Å³/cell: 107.8
Space-group type: No. 216
DFT total energy in eV/cell: -10.0

VASP calculation (PBE) on crystalline Sr3ErSn at its relaxed geometry.

Structure (extended XYZ):
```
5
Lattice="6.223 0.000 0.000 0.000 6.223 0.000 0.000 0.000 6.223" Properties=species:S:1:pos:R:3 pbc="T T T"
Sr 0.000 0.000 3.112
Sr 0.000 3.112 0.000
Sr 3.112 0.000 0.000
Er 0.000 0.000 0.000
Sn 3.112 3.112 3.112
```

## Properties
Calculated volume in Å³/cell: 241.0
Space-group type: No. 221
DFT total energy in eV/cell: -9.8

VASP calculation (PBE) on crystalline SrErSn2 at its relaxed geometry.

Structure (extended XYZ):
```
4
Lattice="3.462 0.000 0.000 0.000 3.187 6.402 0.000 -3.187 6.402" Properties=species:S:1:pos:R:3 pbc="T T T"
Sr 0.000 0.000 0.000
Er 0.000 0.000 9.117
Sn 0.000 0.000 3.284
Sn 0.000 0.000 6.138
```

## Properties
Calculated volume in Å³/cell: 141.3
Space-group type: No. 38
DFT total energy in eV/cell: -13.9

VASP calculation (PBE) on crystalline YErTa2Sn2 at its relaxed geometry.

Structure (extended XYZ):
```
6
Lattice="4.188 0.000 0.000 0.000 4.188 0.000 0.000 0.000 8.074" Properties=species:S:1:pos:R:3 pbc="T T T"
Y 0.000 0.000 0.000
Er 2.094 2.094 2.470
Ta 0.000 2.094 5.252
Ta 2.094 0.000 5.252
Sn 0.000 0.000 3.184
Sn 2.094 2.094 7.324
```

## Properties
Calculated volume in Å³/cell: 141.6
Space-group type: No. 99
DFT total energy in eV/cell: -45.0

VASP calculation (PBE) on crystalline TbErSn2 at its relaxed geometry.

Structure (extended XYZ):
```
4
Lattice="3.331 0.000 0.000 0.000 3.099 6.142 0.000 -3.099 6.142" Properties=species:S:1:pos:R:3 pbc="T T T"
Tb 0.000 0.000 0.000
Er 0.000 0.000 8.843
Sn 0.000 0.000 3.022
Sn 0.000 0.000 5.852
```

## Properties
Calculated volume in Å³/cell: 126.8
Space-group type: No. 38
DFT total energy in eV/cell: -16.9

VASP calculation (PBE) on crystalline TbErSn at its relaxed geometry.

Structure (extended XYZ):
```
3
Lattice="0.000 3.617 3.617 3.617 0.000 3.617 3.617 3.617 0.000" Properties=species:S:1:pos:R:3 pbc="T T T"
Tb 0.000 0.000 0.000
Er 3.617 3.617 3.617
Sn 5.426 5.426 5.426
```

## Properties
Calculated volume in Å³/cell: 94.6
Space-group type: No. 216
DFT total energy in eV/cell: -14.3

VASP calculation (PBE) on crystalline ErTcSn at its relaxed geometry.

Structure (extended XYZ):
```
3
Lattice="0.000 3.359 3.359 3.359 0.000 3.359 3.359 3.359 0.000" Properties=species:S:1:pos:R:3 pbc="T T T"
Er 0.000 0.000 0.000
Tc 1.679 1.679 1.679
Sn 5.038 5.038 5.038
```

## Properties
Calculated volume in Å³/cell: 75.8
Space-group type: No. 216
DFT total energy in eV/cell: -16.6

VASP calculation (PBE) on crystalline Er6TcSn2 at its relaxed geometry.

Structure (extended XYZ):
```
9
Lattice="8.004 0.000 0.000 -4.002 6.932 0.000 0.000 0.000 4.360" Properties=species:S:1:pos:R:3 pbc="T T T"
Er -1.603 2.776 0.000
Er -3.038 5.262 2.180
Er 0.964 1.669 2.180
Er 3.206 0.000 0.000
Er 2.399 4.155 0.000
Er 6.076 0.000 2.180
Tc 0.000 0.000 0.000
Sn 0.000 4.621 2.180
Sn 4.002 2.311 2.180
```

## Properties
Calculated volume in Å³/cell: 241.9
Space-group type: No. 189
DFT total energy in eV/cell: -49.9

VASP calculation (PBE) on crystalline Er5SnTe5 at its relaxed geometry.

Structure (extended XYZ):
```
11
Lattice="6.842 -3.062 0.000 6.842 3.062 0.000 -2.726 0.000 8.189" Properties=species:S:1:pos:R:3 pbc="T T T"
Er 0.000 0.000 0.000
Er 4.167 0.000 1.374
Er 2.799 0.000 5.491
Er 8.159 0.000 2.698
Er 6.791 0.000 6.815
Sn 6.842 0.000 0.000
Te 0.013 0.000 6.795
Te 1.370 0.000 2.760
Te 5.479 0.000 4.095
Te 9.589 0.000 5.429
Te 10.946 0.000 1.394
```

## Properties
Calculated volume in Å³/cell: 343.1
Space-group type: No. 12
DFT total energy in eV/cell: -56.3

VASP calculation (PBE) on crystalline ErTmSn2 at its relaxed geometry.

Structure (extended XYZ):
```
4
Lattice="3.317 0.000 0.000 0.000 3.079 6.121 0.000 -3.079 6.121" Properties=species:S:1:pos:R:3 pbc="T T T"
Er 0.000 0.000 0.000
Tm 0.000 0.000 8.827
Sn 0.000 0.000 3.001
Sn 0.000 0.000 5.837
```

## Properties
Calculated volume in Å³/cell: 125.0
Space-group type: No. 38
DFT total energy in eV/cell: -16.6

VASP calculation (PBE) on crystalline ErTmSn at its relaxed geometry.

Structure (extended XYZ):
```
3
Lattice="0.000 3.651 3.651 3.651 0.000 3.651 3.651 3.651 0.000" Properties=species:S:1:pos:R:3 pbc="T T T"
Er 0.000 0.000 0.000
Tm 1.826 1.826 1.826
Sn 3.651 3.651 3.651
```

## Properties
Calculated volume in Å³/cell: 97.4
Space-group type: No. 216
DFT total energy in eV/cell: -12.5

VASP calculation (PBE) on crystalline ErTmZn2Sn2 at its relaxed geometry.

Structure (extended XYZ):
```
6
Lattice="-2.138 2.138 7.467 2.138 -2.138 7.467 2.138 2.138 -7.467" Properties=species:S:1:pos:R:3 pbc="T T T"
Er 0.000 0.000 0.000
Tm 0.000 0.000 4.715
Zn 2.138 0.000 2.362
Zn 0.000 2.138 2.362
Sn 0.000 0.000 7.808
Sn 0.000 0.000 11.843
```

## Properties
ΔE to the lowest computed polymorph in meV per atom: 70
Calculated volume in Å³/cell: 136.5
Space-group type: No. 107
DFT total energy in eV/cell: -22.4